1.
First-principles (GGA-PBE) data for crystalline UTl3Se4 at its relaxed geometry, as listed in Alexandria.

Cell and atoms, written as POSCAR:
```
UTl3Se4
1.0
7.486 -0.009 0.000
-2.628 7.579 0.000
0.000 0.000 9.060
Se Tl U
8 6 2
Direct
0.501 0.802 0.104
0.457 0.219 0.326
0.543 0.781 0.674
0.001 0.802 0.896
0.043 0.781 0.326
0.499 0.198 0.896
0.999 0.198 0.104
0.957 0.219 0.674
0.250 0.000 0.610
0.750 0.000 0.390
0.250 0.500 0.385
0.750 0.500 0.615
0.250 0.500 0.879
0.750 0.500 0.121
0.750 0.000 0.884
0.250 0.000 0.116
```

Results
- Magnetic moment: 1.0 μB/f.u.
- Energy relative to the lowest polymorph listed for this composition: 0 meV/atom
- Raw formation energy: -16.9 kcal/mol of atoms
- SG: P2/c, No. 13
- Mass density: 7.5 g/cm3

2.
First-principles (GGA-PBE) data for crystalline Pm5YTm2 at its relaxed geometry, as listed in Alexandria.

Cell and atoms, written as POSCAR:
```
Pm5YTm2
1.0
-8.662 -4.006 3.750
6.279 -0.940 8.052
-3.355 0.880 11.028
Y Pm Tm
2 10 4
Direct
0.095 0.905 0.750
0.905 0.095 0.250
0.104 0.896 0.439
0.896 0.104 0.939
0.303 0.695 0.913
0.896 0.104 0.561
0.451 0.549 0.250
0.104 0.896 0.061
0.695 0.303 0.413
0.697 0.305 0.087
0.305 0.697 0.587
0.549 0.451 0.750
0.000 0.500 0.500
0.500 0.000 0.000
0.500 0.500 0.500
0.500 0.500 0.000
```

Results
- Magnetic moment: 0.0 μB/f.u.
- Energy relative to the lowest polymorph listed for this composition: 218 meV/atom
- Calculated formation energy: 0.24 eV/atom
- SG: C2/c, No. 15
- Mass density: 7.0 g/cm3

3.
First-principles (GGA-PBE) data for crystalline NpSbAs2 at its relaxed geometry, as listed in Alexandria.

Cell and atoms, written as POSCAR:
```
NpSbAs2
1.0
-3.219 2.032 0.417
-1.608 -1.957 -2.872
-2.090 -4.126 3.981
Sb As Np
1 2 1
Direct
0.500 0.500 0.000
0.000 0.000 0.721
0.000 0.000 0.279
0.500 0.500 0.500
```

Results
- Magnetic moment: 3.5 μB/f.u.
- Energy relative to the lowest polymorph listed for this composition: 64 meV/atom
- Raw formation energy: -4.5 kcal/mol of atoms
- SG: P4/mmm, No. 123
- Mass density: 9.4 g/cm3

4.
First-principles (GGA-PBE) data for crystalline AcGaB2N4 at its relaxed geometry, as listed in Alexandria.

Cell and atoms, written as POSCAR:
```
AcGaB2N4
1.0
-0.530 -1.503 4.650
4.317 -1.522 2.598
-0.059 3.666 3.776
B N Ac Ga
2 4 1 1
Direct
0.500 0.678 0.322
0.500 0.322 0.678
0.603 0.442 0.804
0.397 0.196 0.558
0.849 0.558 0.196
0.151 0.804 0.442
0.000 0.000 0.000
0.000 0.500 0.500
```

Results
- Magnetic moment: 0.0 μB/f.u.
- Raw formation energy: -17.0 kcal/mol of atoms
- SG: I222, No. 23
- Mass density: 5.9 g/cm3

5.
First-principles (GGA-PBE) data for crystalline La2Sm4Y at its relaxed geometry, as listed in Alexandria.

Cell and atoms, written as POSCAR:
```
La2Sm4Y
1.0
-9.351 2.646 -1.182
2.893 -9.002 -2.568
2.355 -1.780 6.286
La Sm Y
4 8 2
Direct
0.919 0.165 0.408
0.353 0.310 0.413
0.189 0.478 0.910
0.466 0.902 0.910
0.758 0.335 0.912
0.206 0.597 0.405
0.064 0.879 0.409
0.329 0.190 0.914
0.493 0.023 0.413
0.640 0.739 0.415
0.618 0.621 0.915
0.038 0.762 0.909
0.898 0.046 0.909
0.779 0.453 0.409
```

Results
- Magnetic moment: 0.0 μB/f.u.
- Energy relative to the lowest polymorph listed for this composition: 0 meV/atom
- Calculated formation energy: 0.03 eV/atom
- SG: P1, No. 1
- Mass density: 6.6 g/cm3

6.
First-principles (GGA-PBE) data for crystalline La2CdTc at its relaxed geometry, as listed in Alexandria.

Cell and atoms, written as POSCAR:
```
La2CdTc
1.0
-2.361 1.610 2.404
-1.143 -4.430 1.843
3.871 -1.690 4.933
La Cd Tc
2 1 1
Direct
0.000 0.945 0.985
0.500 0.251 0.373
0.500 0.556 0.762
0.000 0.748 0.380
```

Results
- Magnetic moment: 0.0 μB/f.u.
- Calculated formation energy: -0.03 eV/atom
- SG: Pm, No. 6
- Mass density: 7.3 g/cm3